(1)
First-principles (PBE) data for an optimized crystal structure of K2MgZn3Ge4, as listed in Alexandria via LeMat-Bulk.

Results
* SG: P-4m2
* electronic total energy: -26.91 eV per formula unit
* DFT formation energy: -0.0832 eV per atom

Lattice parameters (Å, degrees): 4.430 4.430 11.277 90.00 90.00 90.00
Atoms (fractional coordinates):
Zn1 0.500 0.000 0.864
Zn2 0.000 0.500 0.136
Zn3 0.000 0.000 0.500
Ge1 0.500 0.000 0.638
Ge2 0.500 0.500 0.000
Ge3 0.000 0.500 0.362
Ge4 0.000 0.000 0.000
K1 0.000 0.500 0.753
K2 0.500 0.000 0.247
Mg1 0.500 0.500 0.500

***

(2)
First-principles (PBE) data for an optimized crystal structure of K2MgZrGe, as listed in Alexandria via LeMat-Bulk.

Results
* SG: P4/mmm
* electronic total energy: -10.19 eV per formula unit
* distance to the lowest polymorph of the same formula: 410 meV per atom
* DFT formation energy: 1.3533 eV per atom

Lattice parameters (Å, degrees): 6.437 5.700 6.437 90.00 90.00 90.00
Site moments in Bohr magnetons follow the coordinates.
Atoms (fractional coordinates):
Ge1 0.500 0.500 0.500  -0.60
K1 0.500 0.000 0.000  0.04
K2 0.000 0.000 0.500  0.05
Mg1 0.000 0.500 0.000  0.04
Zr1 0.000 0.000 0.000  1.76

***

(3)
First-principles (PBE) data for an optimized crystal structure of K2MgZrGe, as listed in Alexandria via LeMat-Bulk.

Results
* SG: P4/mmm
* electronic total energy: -12.24 eV per formula unit
* distance to the lowest polymorph of the same formula: 0 meV per atom
* DFT formation energy: 0.9430 eV per atom

Lattice parameters (Å, degrees): 6.484 4.963 6.484 90.00 90.00 90.00
Site moments in Bohr magnetons follow the coordinates.
Atoms (fractional coordinates):
K1 0.000 0.000 0.500  0.01
K2 0.500 0.000 0.000  0.00
Ge1 0.000 0.000 0.000  -0.14
Zr1 0.500 0.500 0.500  1.54
Mg1 0.000 0.500 0.000  0.00

***

(4)
First-principles (PBE) data for an optimized crystal structure of KMnGe2, as listed in Alexandria via LeMat-Bulk.

Results
* SG: Fm-3m
* electronic total energy: -17.59 eV per formula unit
* distance to the lowest polymorph of the same formula: 442 meV per atom
* DFT formation energy: 0.4772 eV per atom

Lattice parameters (Å, degrees): 4.975 4.975 4.975 60.00 60.00 60.00
Site moments in Bohr magnetons follow the coordinates.
Atoms (fractional coordinates):
Ge1 0.250 0.250 0.250  -0.07
Ge2 0.750 0.750 0.750  -0.07
K1 0.000 0.000 0.000  -0.01
Mn1 0.500 0.500 0.500  3.98

***

(5)
First-principles (PBE) data for an optimized crystal structure of K2MnGe2, as listed in Alexandria via LeMat-Bulk.

Results
* SG: P4/mbm
* electronic total energy: -19.74 eV per formula unit
* DFT formation energy: 0.1728 eV per atom

Lattice parameters (Å, degrees): 6.766 6.766 5.688 90.00 90.00 90.00
Site moments in Bohr magnetons follow the coordinates.
Atoms (fractional coordinates):
Ge1 0.635 0.135 0.000  -0.16
Ge2 0.135 0.365 0.000  -0.16
Ge3 0.865 0.635 0.000  -0.16
Ge4 0.365 0.865 0.000  -0.16
K1 0.825 0.325 0.500  -0.01
K2 0.675 0.825 0.500  -0.01
K3 0.325 0.175 0.500  -0.01
K4 0.175 0.675 0.500  -0.01
Mn1 0.000 0.000 0.000  3.56
Mn2 0.500 0.500 0.000  3.56

***

(6)
First-principles (PBE) data for an optimized crystal structure of KMnGe2, as listed in Alexandria via LeMat-Bulk.

Results
* SG: R-3m
* electronic total energy: -19.36 eV per formula unit
* distance to the lowest polymorph of the same formula: 0 meV per atom
* DFT formation energy: 0.0351 eV per atom

Lattice parameters (Å, degrees): 4.135 4.135 7.081 73.02 73.02 60.00
Site moments in Bohr magnetons follow the coordinates.
Atoms (fractional coordinates):
Ge1 0.291 0.291 0.128  -0.05
Ge2 0.709 0.709 0.872  -0.05
K1 0.500 0.500 0.500  0.00
Mn1 0.000 0.000 0.000  3.09

***

(7)
First-principles (PBE) data for an optimized crystal structure of KMnGe2Mo, as listed in Alexandria via LeMat-Bulk.

Results
* SG: P4/mmm
* electronic total energy: -24.04 eV per formula unit
* DFT formation energy: 1.2587 eV per atom

Lattice parameters (Å, degrees): 4.758 5.341 4.758 90.00 90.00 90.00
Site moments in Bohr magnetons follow the coordinates.
Atoms (fractional coordinates):
Mo1 0.500 0.500 0.500  3.76
K1 0.000 0.500 0.000  0.00
Ge1 0.000 0.000 0.500  -0.05
Ge2 0.500 0.000 0.000  -0.04
Mn1 0.000 0.000 0.000  0.40